[1]
VFe2Rh after structural relaxation, computed with PBE.

Cell: 3.498 3.498 9.337 Å, 79.20 79.20 90.00°
Positions (direct):
Rh (0.000, 0.000, 0.000)
Rh (0.750, 0.250, 0.500)
Fe (0.875, 0.869, 0.750)
Fe (0.619, 0.125, 0.250)
Fe (0.131, 0.625, 0.250)
Fe (0.375, 0.381, 0.750)
V (0.500, 0.500, 0.000)
V (0.250, 0.750, 0.500)

Computed properties:
As for the excess energy over the best structure of this formula in the dataset: 0.5074 eV per atom. The calculation puts the formation enthalpy at 0 K at 0.333 eV/atom.

[2]
V4FeRh after structural relaxation, computed with PBE.

Cell: 2.953 2.953 8.954 Å, 90.00 90.00 90.00°
Positions (direct):
Fe (0.500, 0.500, 0.500)
V (0.500, 0.500, 0.820)
V (0.000, 0.000, 0.341)
V (0.000, 0.000, 0.659)
V (0.500, 0.500, 0.180)
Rh (0.000, 0.000, 0.000)

Computed properties:
As for the excess energy over the best structure of this formula in the dataset: 0.0000 eV per atom. The calculation puts the formation enthalpy at 0 K at -0.192 eV/atom.

[3]
VFe2Rh after structural relaxation, computed with PBE.

Cell: 2.973 2.973 5.756 Å, 90.00 90.00 90.00°
Positions (direct):
Fe (0.000, 0.000, 0.769)
Fe (0.000, 0.000, 0.231)
V (0.500, 0.500, 0.000)
Rh (0.500, 0.500, 0.500)

Computed properties:
As for the excess energy over the best structure of this formula in the dataset: 0.0902 eV per atom. The calculation puts the formation enthalpy at 0 K at -0.085 eV/atom.

[4]
V6Fe2Rh after structural relaxation, computed with PBE.

Cell: 6.768 6.768 6.768 Å, 109.23 109.51 109.67°
Positions (direct):
V (0.208, 0.247, 0.455)
V (0.482, 0.285, 0.197)
V (0.208, 0.753, 0.962)
V (0.733, 0.423, 0.690)
V (0.267, 0.956, 0.690)
V (0.792, 0.753, 0.545)
V (0.912, 0.715, 0.197)
V (0.733, 0.044, 0.310)
V (0.518, 0.715, 0.803)
V (0.088, 0.285, 0.803)
V (0.267, 0.577, 0.310)
V (0.792, 0.247, 0.038)
Fe (0.500, 0.647, 0.147)
Fe (0.644, 0.000, 0.644)
Fe (0.500, 0.353, 0.853)
Fe (0.356, 0.000, 0.356)
Rh (0.000, 0.500, 0.500)
Rh (0.000, 0.000, 0.000)

Computed properties:
The calculation puts the formation enthalpy at 0 K at -0.009 eV/atom.

> Among the records above, which one has the highest formation enthalpy at 0 K?

number 1

> What is the formula in the first record?

VFe2Rh